# 1
The following is a DFT calculation (PBE) of CaNpP2Rh5 after structural relaxation.

Cell: 4.0709 4.0709 8.8052 Å, 90.00 90.00 90.00°
Space group P4/mmm (No. 123)
Inequivalent atoms, fractional coordinates:
Ca: 0.0000 0.0000 0.0000 x1
Np: 0.0000 0.0000 0.5000 x1
P: 0.5000 0.5000 0.1354 x2
Rh: 0.0000 0.5000 0.2648 x4
Rh: 0.5000 0.5000 0.5000 x1

Values from the calculation:
As for the crystal system: tetragonal. The formation energy is -0.78 eV per atom.

---

# 2
The following is a DFT calculation (PBE) of Ca2YN2Cl2 after structural relaxation.

Cell: 4.4267 4.4267 14.3998 Å, 90.00 90.00 90.00°
Space group I4/mmm (No. 139)
Inequivalent atoms, fractional coordinates:
Ca: 0.0000 0.0000 0.1082 x4
Y: 0.0000 0.0000 0.5000 x2
N: 0.0000 0.5000 0.0000 x4
Cl: 0.0000 0.0000 0.3080 x4

Values from the calculation:
The formation energy without anion corrections is -9.984 eV per formula unit. As for the crystal system: tetragonal.

---

# 3
The following is a DFT calculation (PBE) of CaCoP2 after structural relaxation.

Cell: 3.3331 3.4931 11.5584 Å, 90.00 90.00 90.00°
Space group Imm2 (No. 44)
Inequivalent atoms, fractional coordinates:
Ca: 0.0000 0.0000 0.0000 x2
Co: 0.0000 0.5000 0.7481 x2
P: 0.0000 0.0000 0.6337 x2
P: 0.0000 0.5000 0.2929 x2

Values from the calculation:
As for the crystal system: orthorhombic. The formation energy is -0.40 eV per atom.

---

# 4
The following is a DFT calculation (PBE) of NaBeTlW2 after structural relaxation.

Cell: 5.3211 5.3211 4.5519 Å, 90.00 90.00 90.00°
Space group P4/mmm (No. 123)
Inequivalent atoms, fractional coordinates:
Na: 0.0000 0.0000 0.0000 x1
Be: 0.5000 0.5000 0.0000 x1
Tl: 0.5000 0.5000 0.5000 x1
W: 0.0000 0.5000 0.5000 x2

Values from the calculation:
As for the crystal system: tetragonal. The formation energy is 2.51 eV per atom.

---

# 5
The following is a DFT calculation (PBE) of SrTe2CN after structural relaxation.

Cell: 6.4797 6.4797 2.7064 Å, 90.00 90.00 90.00°
Space group P4/mmm (No. 123)
Inequivalent atoms, fractional coordinates:
Sr: 0.0000 0.0000 0.0000 x1
Te: 0.0000 0.5000 0.5000 x2
C: 0.5000 0.5000 0.5000 x1
N: 0.5000 0.5000 0.0000 x1

Values from the calculation:
The formation energy without anion corrections is 3.160 eV per formula unit. As for the crystal system: tetragonal.

---

# 6
The following is a DFT calculation (PBE) of Ba2Ni after structural relaxation.

Cell: 7.7739 7.7739 7.4480 Å, 90.00 90.00 90.00°
Space group I4/mcm (No. 140)
Inequivalent atoms, fractional coordinates:
Ba: 0.1947 0.3053 0.0000 x8
Ni: 0.0000 0.0000 0.2500 x4

Values from the calculation:
As for the crystal system: tetragonal. The formation energy is 0.15 eV per atom.

---

# 7
The following is a DFT calculation (PBE) of Ca3GePd8Pb2 after structural relaxation.

Cell: 5.5775 5.5775 10.4140 Å, 90.00 90.00 120.00°
Space group P-3m1 (No. 164)
Inequivalent atoms, fractional coordinates:
Ca: 0.0000 0.0000 0.0000 x1
Ca: 0.3333 0.6667 0.5628 x2
Ge: 0.0000 0.0000 0.5000 x1
Pd: 0.1649 0.3298 0.3088 x6
Pd: 0.3333 0.6667 0.8359 x2
Pb: 0.3333 0.6667 0.0944 x2

Values from the calculation:
As for the crystal system: trigonal. The formation energy is -0.52 eV per atom.

---

# 8
The following is a DFT calculation (PBE) of La8Pr3Tm2 after structural relaxation.

Cell: 13.5034 11.9682 6.2761 Å, 90.00 112.67 90.00°
Space group C2/m (No. 12)
Inequivalent atoms, fractional coordinates:
La: 0.0525 0.0000 0.2961 x4
La: 0.1463 0.5000 0.5533 x4
La: 0.1770 0.2408 0.1761 x8
Pr: 0.0000 0.2533 0.5000 x4
Pr: 0.0000 0.5000 0.0000 x2
Tm: 0.2119 0.0000 0.8450 x4

Values from the calculation:
As for the crystal system: monoclinic. The formation energy is 0.14 eV per atom.

---

# 9
The following is a DFT calculation (PBE) of TbPt2 after structural relaxation.

Cell: 7.7032 7.7032 7.7032 Å, 90.00 90.00 90.00°
Space group Fd-3m (No. 227, origin choice 2)
Inequivalent atoms, fractional coordinates:
Tb: 0.1250 0.1250 0.1250 x8
Pt: 0.0000 0.0000 0.5000 x16

Values from the calculation:
As for the crystal system: cubic. The formation energy is -1.12 eV per atom.

---

# 10
The following is a DFT calculation (PBE) of TbDy5Pb6 after structural relaxation.

Cell: 6.1143 15.2857 7.7984 Å, 90.00 103.79 90.00°
Space group C2/m (No. 12)
Inequivalent atoms, fractional coordinates:
Tb: 0.0000 0.0000 0.0000 x2
Dy: 0.0000 0.0000 0.5000 x2
Dy: 0.0000 0.3329 0.0000 x4
Dy: 0.0000 0.3340 0.5000 x4
Pb: 0.9998 0.1670 0.2509 x8
Pb: 0.0016 0.5000 0.2493 x4

Values from the calculation:
As for the crystal system: monoclinic. The formation energy is -0.44 eV per atom.

---

# 11
The following is a DFT calculation (PBE) of LiBeSe3 after structural relaxation.

Cell: 4.6742 4.6742 4.6742 Å, 90.00 90.00 90.00°
Space group Pm-3m (No. 221)
Inequivalent atoms, fractional coordinates:
Li: 0.0000 0.0000 0.0000 x1
Be: 0.5000 0.5000 0.5000 x1
Se: 0.0000 0.5000 0.5000 x3

Values from the calculation:
The formation energy without anion corrections is -0.322 eV per formula unit. As for the crystal system: cubic.

---

# 12
The following is a DFT calculation (PBE) of KErCuF6 after structural relaxation.

Cell: 5.6781 5.6781 11.1722 Å, 90.00 90.00 120.00°
Space group P-31c (No. 163)
Inequivalent atoms, fractional coordinates:
K: 0.0000 0.0000 0.0000 x2
Er: 0.3333 0.6667 0.2500 x2
Cu: 0.3333 0.6667 0.7500 x2
F: 0.0140 0.3821 0.6481 x12

Values from the calculation:
The formation energy without anion corrections is -26.497 eV per formula unit. As for the crystal system: trigonal.

---

# 13
The following is a DFT calculation (PBE) of PrTl2ZnSb2 after structural relaxation.

Cell: 4.5303 10.1625 8.0046 Å, 90.00 90.00 90.00°
Space group Pmc2_1 (No. 26)
Inequivalent atoms, fractional coordinates:
Pr: 0.0000 0.0373 0.0000 x2
Tl: 0.0000 0.3734 0.3419 x2
Tl: 0.5000 0.3704 0.0021 x2
Zn: 0.5000 0.1395 0.6687 x2
Sb: 0.0000 0.2754 0.7192 x2
Sb: 0.5000 0.1206 0.2776 x2

Values from the calculation:
The formation energy without anion corrections is -2.180 eV per formula unit. As for the crystal system: orthorhombic.

---

# 14
The following is a DFT calculation (PBE) of YBeS2 after structural relaxation.

Cell: 3.9612 3.9612 20.6527 Å, 90.00 90.00 120.00°
Space group R-3m (No. 166, hexagonal axes)
Inequivalent atoms, fractional coordinates:
Y: 0.0000 0.0000 0.0000 x3
Be: 0.0000 0.0000 0.5000 x3
S: 0.0000 0.0000 0.4078 x6

Values from the calculation:
The formation energy without anion corrections is -4.417 eV per formula unit. As for the crystal system: trigonal.

---

# 15
The following is a DFT calculation (PBE) of PrTmThSc after structural relaxation.

Cell: 7.8835 7.8835 7.8835 Å, 90.00 90.00 90.00°
Space group F-43m (No. 216)
Inequivalent atoms, fractional coordinates:
Pr: 0.0000 0.0000 0.0000 x4
Tm: 0.2500 0.2500 0.2500 x4
Th: 0.0000 0.0000 0.5000 x4
Sc: 0.2500 0.2500 0.7500 x4

Values from the calculation:
As for the crystal system: cubic. The formation energy is 0.10 eV per atom.

---

# 16
The following is a DFT calculation (PBE) of AcDyZr after structural relaxation.

Cell: 3.5279 3.5279 15.4535 Å, 90.00 90.00 90.00°
Space group I4mm (No. 107)
Inequivalent atoms, fractional coordinates:
Ac: 0.0000 0.0000 0.0000 x2
Dy: 0.0000 0.0000 0.6929 x2
Zr: 0.0000 0.0000 0.3338 x2

Values from the calculation:
As for the crystal system: tetragonal. The formation energy is 0.19 eV per atom.

---

# 17
The following is a DFT calculation (PBE) of SbPC after structural relaxation.

Cell: 3.9777 3.8053 8.4155 Å, 90.00 97.93 90.00°
Space group Pm (No. 6)
Inequivalent atoms, fractional coordinates:
Sb: 0.0000 0.0000 0.0000 x1
Sb: 0.4654 0.5000 0.8468 x1
P: 0.1971 0.5000 0.3378 x1
P: 0.8109 0.5000 0.5217 x1
C: 0.5046 0.1785 0.4285 x2

Values from the calculation:
The formation energy without anion corrections is 1.243 eV per formula unit. As for the crystal system: monoclinic.

---

# 18
The following is a DFT calculation (PBE) of TcGeMo after structural relaxation.

Cell: 12.9951 2.9093 5.4235 Å, 90.00 114.60 90.00°
Space group C2/m (No. 12)
Inequivalent atoms, fractional coordinates:
Tc: 0.9998 0.0000 0.2405 x4
Ge: 0.1459 0.5000 0.6460 x4
Mo: 0.1611 0.5000 0.1611 x4

Values from the calculation:
As for the crystal system: monoclinic. The formation energy is 0.00 eV per atom.

---

# 19
The following is a DFT calculation (PBE) of Np2GaSi4Ir3 after structural relaxation.

Cell: 4.1199 4.1199 10.0799 Å, 90.00 90.00 90.00°
Space group P-4m2 (No. 115)
Inequivalent atoms, fractional coordinates:
Np: 0.0000 0.5000 0.2459 x2
Ga: 0.0000 0.0000 0.5000 x1
Si: 0.0000 0.0000 0.0000 x1
Si: 0.0000 0.5000 0.6419 x2
Si: 0.5000 0.5000 0.0000 x1
Ir: 0.0000 0.5000 0.8752 x2
Ir: 0.5000 0.5000 0.5000 x1

Values from the calculation:
The formation energy without anion corrections is -5.703 eV per formula unit. As for the crystal system: tetragonal.

---

# 20
The following is a DFT calculation (PBE) of Ac2ZrAl3Ga12 after structural relaxation.

Cell: 6.6639 6.6639 30.9497 Å, 90.00 90.00 120.00°
Space group R-3m (No. 166, hexagonal axes)
Inequivalent atoms, fractional coordinates:
Ac: 0.0000 0.0000 0.1396 x6
Zr: 0.0000 0.0000 0.5000 x3
Al: 0.0000 0.5000 0.0000 x9
Ga: 0.0292 0.5146 0.0987 x18
Ga: 0.0560 0.5280 0.6186 x18

Values from the calculation:
As for the crystal system: trigonal. The formation energy is -0.15 eV per atom.